ZrTcSe2 | Alexandria | PBE | optimized geometry; space-group type = C2/m (12); excess energy over the best structure of this formula in the dataset = 258 meV per atom; formation energy from raw total energies = -0.37 eV per atom; crystal system = monoclinic
1.0
-1.704 -1.063 -3.644
-0.956 -3.660 -1.734
-5.718 -0.567 1.466
Se Tc Zr
2 1 1
Direct
0.006 0.006 0.971
0.494 0.494 0.529
0.750 0.750 0.750
0.250 0.250 0.250

=====

Cs4H5Pd | Alexandria | PBE | optimized geometry; space-group type = I4 (79); crystal system = tetragonal
1.0
6.142 0.000 0.000
3.071 6.665 0.000
3.071 0.000 6.665
Cs H Pd
4 5 1
Direct
0.396 0.389 0.856
0.786 0.856 0.611
0.252 0.144 0.389
0.642 0.611 0.144
0.968 0.216 0.870
0.184 0.870 0.784
0.837 0.130 0.216
0.053 0.784 0.130
0.349 0.000 0.000
0.043 0.000 0.000

=====

NdSm2Dy | Alexandria | PBE | optimized geometry; space-group type = Fm-3m (225); excess energy over the best structure of this formula in the dataset = 130 meV per atom; formation energy from the elements = 56 kJ/mol of formula units; crystal system = cubic
1.0
5.763 0.000 0.000
2.882 4.991 0.000
2.882 1.664 4.706
Nd Sm Dy
1 2 1
Direct
0.500 0.500 0.500
0.250 0.250 0.250
0.750 0.750 0.750
0.000 0.000 0.000

=====

CaSmGd2 | Alexandria | PBE | optimized geometry; space-group type = R-3m (166); excess energy over the best structure of this formula in the dataset = 88 meV per atom; formation energy from the elements = 53 kJ/mol of formula units; crystal system = trigonal
1.0
-2.085 2.128 1.983
-2.893 -1.340 1.626
5.293 -2.403 11.375
Ca Gd Sm
1 2 1
Direct
0.000 0.000 0.000
0.090 0.090 0.730
0.910 0.910 0.270
0.500 0.500 0.500

=====

Rb3AsS | Alexandria | PBE | optimized geometry; space-group type = Pm-3m (221); excess energy over the best structure of this formula in the dataset = 311 meV per atom; formation energy from raw total energies = -0.33 eV per atom; crystal system = cubic
1.0
6.347 0.000 0.000
0.000 6.347 0.000
0.000 0.000 6.347
As S Rb
1 1 3
Direct
0.500 0.500 0.500
0.000 0.000 0.000
0.000 0.500 0.000
0.000 0.000 0.500
0.500 0.000 0.000

=====

SrNdDy2 | Alexandria | PBE | optimized geometry; space-group type = P4/mmm (123); excess energy over the best structure of this formula in the dataset = 70 meV per atom; formation energy from the elements = 74 kJ/mol of formula units; crystal system = tetragonal
1.0
-4.090 2.642 1.901
-3.056 -4.206 -0.729
1.161 -1.682 4.835
Sr Nd Dy
1 1 2
Direct
0.500 0.500 0.500
0.500 0.000 0.000
0.000 0.000 0.500
0.000 0.500 0.000

=====

SrSi2Ag | Alexandria | PBE | optimized geometry; space-group type = Fm-3m (225); formation energy from raw total energies = 0.22 eV per atom; crystal system = cubic
1.0
-1.593 0.443 4.676
-1.709 4.360 1.636
-4.838 0.577 0.927
Sr Si Ag
1 2 1
Direct
0.000 0.000 0.000
0.250 0.250 0.250
0.750 0.750 0.750
0.500 0.500 0.500

=====

Tb4Dy3Ho8 | Alexandria | PBE | optimized geometry; space-group type = C2/m (12); excess energy over the best structure of this formula in the dataset = 258 meV per atom; formation energy from the elements = 576 kJ/mol of formula units; crystal system = monoclinic
1.0
6.685 -0.102 -0.146
-3.192 8.550 1.139
-3.192 -1.900 8.414
Tb Dy Ho
4 3 8
Direct
0.500 0.000 0.000
0.000 0.500 0.000
0.000 0.000 0.000
0.000 0.000 0.500
0.500 0.500 0.000
0.500 0.000 0.500
0.500 0.500 0.500
0.527 0.267 0.267
0.000 0.640 0.360
0.006 0.267 0.267
0.500 0.747 0.253
0.500 0.253 0.747
0.994 0.733 0.733
0.000 0.360 0.640
0.473 0.733 0.733

=====

BeBiAs2Br | Alexandria | PBE | optimized geometry; space-group type = P4/mmm (123); excess energy over the best structure of this formula in the dataset = 0 meV per atom; formation energy from raw total energies = 0.31 eV per atom; crystal system = tetragonal
1.0
4.760 0.000 0.000
0.000 4.760 0.000
0.000 0.000 4.719
Be As Bi Br
1 2 1 1
Direct
0.000 0.000 0.000
0.000 0.500 0.000
0.500 0.000 0.000
0.500 0.500 0.500
0.000 0.000 0.500

=====

Sc2NiBr | Alexandria | PBE | optimized geometry; space-group type = F-43m (216); excess energy over the best structure of this formula in the dataset = 1015 meV per atom; formation energy from raw total energies = 0.31 eV per atom; crystal system = cubic
1.0
4.784 0.000 0.000
2.392 4.143 0.000
2.392 1.381 3.906
Br Ni Sc
1 1 2
Direct
0.500 0.500 0.500
0.750 0.750 0.750
0.000 0.000 0.000
0.250 0.250 0.250

=====

SrAlOs2 | Alexandria | PBE | optimized geometry; space-group type = Pm (6); formation energy from the elements = 93 kJ/mol of formula units; crystal system = monoclinic
1.0
3.728 0.000 0.000
0.000 2.858 0.307
0.000 2.060 7.639
Sr Os Al
1 2 1
Direct
0.000 0.506 0.494
0.000 0.978 0.022
0.500 0.334 0.167
0.500 0.683 0.817

=====

Li3LaAl3 | Alexandria | PBE | optimized geometry; space-group type = Pm-3n (223); formation energy from the elements = 217 kJ/mol of formula units; crystal system = cubic
1.0
-4.224 -2.027 -4.939
-0.723 -6.023 3.090
-5.290 2.442 3.522
Li Al La
6 6 2
Direct
0.250 0.000 0.500
0.000 0.500 0.250
0.500 0.750 0.000
0.750 0.000 0.500
0.000 0.500 0.750
0.500 0.250 0.000
0.000 0.250 0.500
0.000 0.750 0.500
0.500 0.000 0.750
0.750 0.500 0.000
0.500 0.000 0.250
0.250 0.500 0.000
0.500 0.500 0.500
0.000 0.000 0.000

=====

ScBePd | Alexandria | PBE | optimized geometry; space-group type = Cmcm (63); formation energy from the elements = -109 kJ/mol of formula units; crystal system = orthorhombic
1.0
-2.100 -3.917 0.231
1.685 0.874 -4.026
4.560 -2.363 1.396
Sc Pd Be
2 2 2
Direct
0.648 0.352 0.750
0.352 0.648 0.250
0.276 0.724 0.750
0.724 0.276 0.250
0.000 0.000 0.000
0.000 0.000 0.500

=====

ZnHPd | Alexandria | PBE | optimized geometry; space-group type = Pbcn (60); crystal system = orthorhombic
1.0
-5.152 0.923 -0.244
-0.082 -3.074 -9.884
-2.774 -14.305 4.471
H Zn Pd
24 24 24
Direct
0.646 0.416 0.774
0.354 0.416 0.274
0.028 0.463 0.571
0.972 0.463 0.071
0.525 0.464 0.931
0.475 0.464 0.431
0.025 0.036 0.931
0.975 0.036 0.431
0.528 0.037 0.571
0.472 0.037 0.071
0.146 0.084 0.774
0.854 0.084 0.274
0.854 0.916 0.226
0.146 0.916 0.726
0.528 0.963 0.929
0.472 0.963 0.429
0.975 0.964 0.069
0.025 0.964 0.569
0.525 0.536 0.569
0.475 0.536 0.069
0.972 0.537 0.429
0.028 0.537 0.929
0.646 0.584 0.726
0.354 0.584 0.226
0.092 0.219 0.919
0.908 0.219 0.419
0.781 0.264 0.253
0.219 0.264 0.753
0.587 0.216 0.589
0.413 0.216 0.089
0.087 0.284 0.589
0.913 0.284 0.089
0.719 0.237 0.753
0.281 0.237 0.253
0.592 0.281 0.919
0.408 0.281 0.419
0.408 0.719 0.081
0.592 0.719 0.581
0.281 0.763 0.247
0.719 0.763 0.747
0.087 0.716 0.911
0.913 0.716 0.411
0.413 0.784 0.411
0.587 0.784 0.911
0.781 0.736 0.247
0.219 0.736 0.747
0.092 0.781 0.581
0.908 0.781 0.081
0.546 0.436 0.167
0.454 0.436 0.667
0.940 0.430 0.836
0.060 0.430 0.336
0.750 0.430 0.500
0.250 0.430 0.000
0.750 0.070 0.000
0.250 0.070 0.500
0.440 0.070 0.836
0.560 0.070 0.336
0.954 0.064 0.667
0.046 0.064 0.167
0.046 0.936 0.333
0.954 0.936 0.833
0.440 0.930 0.664
0.560 0.930 0.164
0.750 0.930 0.500
0.250 0.930 0.000
0.250 0.570 0.500
0.750 0.570 0.000
0.940 0.570 0.664
0.060 0.570 0.164
0.546 0.564 0.333
0.454 0.564 0.833

=====

Cr3C5 | Alexandria | PBE | optimized geometry; space-group type = P6_3/mmc (194); excess energy over the best structure of this formula in the dataset = 15 meV per atom; formation energy from the elements = 561 kJ/mol of formula units; crystal system = hexagonal
1.0
6.198 -0.003 0.000
-3.095 5.369 0.000
0.000 0.000 4.044
Cr C
6 10
Direct
0.822 0.178 0.250
0.178 0.822 0.750
0.822 0.643 0.250
0.357 0.178 0.250
0.643 0.822 0.750
0.178 0.357 0.750
0.333 0.667 0.060
0.667 0.333 0.560
0.667 0.333 0.940
0.333 0.667 0.440
0.192 0.807 0.250
0.808 0.193 0.750
0.193 0.385 0.250
0.615 0.807 0.250
0.385 0.193 0.750
0.807 0.615 0.750

=====

NdY12Ho7 | Alexandria | PBE | optimized geometry; space-group type = Im-3m (229); excess energy over the best structure of this formula in the dataset = 407 meV per atom; formation energy from the elements = 1344 kJ/mol of formula units; crystal system = cubic
1.0
9.236 0.000 -3.265
-4.618 7.999 -3.265
0.000 0.000 9.796
Nd Y Ho
1 12 7
Direct
0.000 0.000 0.000
0.492 0.746 0.746
0.000 0.746 0.254
0.508 0.254 0.254
0.000 0.254 0.746
0.746 0.000 0.254
0.746 0.492 0.746
0.254 0.000 0.746
0.254 0.508 0.254
0.746 0.746 0.492
0.254 0.254 0.508
0.746 0.254 0.000
0.254 0.746 0.000
0.500 0.500 0.000
0.000 0.500 0.500
0.500 0.000 0.500
0.500 0.500 0.500
0.000 0.000 0.500
0.500 0.000 0.000
0.000 0.500 0.000

=====

BaTl2Hg | Alexandria | PBE | optimized geometry; space-group type = I-4m2 (119); excess energy over the best structure of this formula in the dataset = 0 meV per atom; formation energy from the elements = -128 kJ/mol of formula units; crystal system = tetragonal
1.0
5.650 -0.151 0.180
2.851 4.880 0.180
2.822 1.570 4.762
Tl Hg Ba
2 1 1
Direct
0.000 0.000 0.000
0.250 0.250 0.251
0.750 0.750 0.749
0.500 0.500 0.500

=====

NaNd2Gd | Alexandria | PBE | optimized geometry; space-group type = R-3m (166); excess energy over the best structure of this formula in the dataset = 32 meV per atom; formation energy from the elements = 52 kJ/mol of formula units; crystal system = trigonal
1.0
3.575 0.000 0.000
1.787 3.096 0.000
1.787 1.032 12.921
Na Gd Nd
1 1 2
Direct
0.000 0.000 0.000
0.500 0.500 0.500
0.092 0.092 0.725
0.908 0.908 0.275

=====

CuRuS3 | Alexandria | PBE | optimized geometry; space-group type = Pm-3m (221); excess energy over the best structure of this formula in the dataset = 360 meV per atom; formation energy from raw total energies = 1.06 eV per atom; crystal system = cubic
1.0
4.391 0.000 0.000
0.000 4.391 0.000
0.000 0.000 4.391
Ru S Cu
1 3 1
Direct
0.500 0.500 0.500
0.000 0.500 0.000
0.000 0.000 0.500
0.500 0.000 0.000
0.000 0.000 0.000

=====

RbMnMo2S8 | Alexandria | PBE | optimized geometry; space-group type = R-3 (148); formation energy from raw total energies = -0.49 eV per atom; crystal system = trigonal
1.0
6.200 0.000 0.000
3.100 5.369 0.000
3.100 1.790 9.356
Rb Mn Mo S
1 1 2 8
Direct
0.500 0.500 0.500
0.000 0.000 0.000
0.258 0.258 0.226
0.742 0.742 0.774
0.181 0.181 0.458
0.631 0.266 0.153
0.819 0.819 0.542
0.950 0.631 0.153
0.050 0.369 0.847
0.266 0.950 0.153
0.734 0.050 0.847
0.369 0.734 0.847

=====

MgTlBr | Alexandria | PBE | optimized geometry; space-group type = I4mm (107); excess energy over the best structure of this formula in the dataset = 99 meV per atom; formation energy from raw total energies = -0.46 eV per atom; crystal system = tetragonal
1.0
8.002 0.126 0.000
6.386 4.824 0.000
-7.194 -2.475 2.484
Br Mg Tl
1 1 1
Direct
0.949 0.949 0.000
0.352 0.352 0.000
0.698 0.698 0.000

=====

PdRhO2 | Alexandria | PBE | optimized geometry; space-group type = P3m1 (156); formation energy from raw total energies = -0.02 eV per atom; crystal system = trigonal
1.0
-2.733 0.052 -0.944
0.902 -2.158 1.702
-1.770 3.449 5.313
Rh O Pd
1 2 1
Direct
0.333 0.667 0.468
0.333 0.667 0.751
0.667 0.333 0.260
0.000 0.000 0.976

=====

Number 1: E -6.839 eV/atom. Number 2: E -2.626 eV/atom. Number 3: E -4.556 eV/atom. Number 4: E -8.582 eV/atom. Number 5: E -2.662 eV/atom. Number 6: E -3.723 eV/atom. Number 7: E -3.621 eV/atom. Number 8: E -4.199 eV/atom. Number 9: E -3.407 eV/atom. Number 10: E -4.722 eV/atom. Number 11: E -6.731 eV/atom. Number 12: E -2.807 eV/atom. Number 13: E -5.460 eV/atom. Number 14: E -3.393 eV/atom. Number 15: E -8.646 eV/atom. Number 16: E -5.023 eV/atom. Number 17: E -2.072 eV/atom. Number 18: E -6.098 eV/atom. Number 19: E -4.093 eV/atom. Number 20: E -5.891 eV/atom. Number 21: E -2.342 eV/atom. Number 22: E -5.639 eV/atom.